Material: Th3Mn5Se12
Method: DFT, PBE
State: optimized geometry

Output
Theoretical density, Mg/m³: 6.2
Volume, Å³/cell: 2046
Raw formation energy, eV per atom: -0.987

a = 13.8508 Å, b = 13.8508 Å, c = 13.8508 Å
α = 109.47°, β = 109.47°, γ = 109.47°
Site moments in Bohr magnetons follow the coordinates.
Fractional positions:
Th 0.1250 0.2500 0.8750  0.17
Th 0.2500 0.1250 0.3750  0.17
Th 0.3750 0.7500 0.6250  0.17
Th 0.6250 0.3750 0.7500  0.17
Th 0.8750 0.1250 0.2500  0.17
Th 0.2500 0.6250 0.8750  0.17
Th 0.6250 0.2500 0.3750  0.17
Th 0.8750 0.7500 0.1250  0.17
Th 0.7500 0.8750 0.6250  0.17
Th 0.7500 0.3750 0.1250  0.17
Th 0.1250 0.8750 0.7500  0.17
Th 0.3750 0.6250 0.2500  0.17
Se 0.8246 0.9119 0.0360  0.01
Se 0.5881 0.6242 0.4128  0.01
Se 0.4119 0.0360 0.3246  0.01
Se 0.2114 0.5360 0.6242  0.01
Se 0.3246 0.7886 0.4128  0.01
Se 0.9640 0.3758 0.2886  0.01
Se 0.0881 0.9128 0.1242  0.01
Se 0.4640 0.6754 0.0881  0.01
Se 0.7886 0.4640 0.3758  0.01
Se 0.1754 0.0872 0.7114  0.01
Se 0.2114 0.6754 0.0872  0.01
Se 0.0360 0.6242 0.7114  0.01
Se 0.8246 0.9128 0.2886  0.01
Se 0.8758 0.2886 0.4640  0.01
Se 0.4640 0.7886 0.8758  0.01
Se 0.6754 0.2114 0.5872  0.01
Se 0.1242 0.4128 0.0881  0.01
Se 0.7886 0.3246 0.9128  0.01
Se 0.2886 0.8758 0.9640  0.01
Se 0.9119 0.8246 0.5360  0.01
Se 0.4119 0.3758 0.5872  0.01
Se 0.4128 0.2886 0.3246  0.01
Se 0.0872 0.1754 0.2114  0.01
Se 0.1242 0.7114 0.5360  0.01
Se 0.7114 0.1242 0.0360  0.01
Se 0.5360 0.3246 0.9119  0.01
Se 0.8758 0.5872 0.9119  0.01
Se 0.0881 0.1754 0.4640  0.01
Se 0.5360 0.2114 0.1242  0.01
Se 0.7114 0.5872 0.1754  0.01
Se 0.2886 0.4128 0.8246  0.01
Se 0.0872 0.9119 0.3758  0.01
Se 0.0360 0.4119 0.8246  0.01
Se 0.9119 0.0872 0.8758  0.01
Se 0.6242 0.5881 0.9128  0.01
Se 0.6242 0.0360 0.2114  0.01
Se 0.4128 0.1242 0.5881  0.01
Se 0.1754 0.0881 0.9640  0.01
Se 0.9128 0.8246 0.7886  0.01
Se 0.6754 0.4640 0.5881  0.01
Se 0.3246 0.5360 0.4119  0.01
Se 0.5872 0.7114 0.6754  0.01
Se 0.3758 0.9640 0.7886  0.01
Se 0.5872 0.8758 0.4119  0.01
Se 0.9640 0.5881 0.1754  0.01
Se 0.5881 0.9640 0.6754  0.01
Se 0.9128 0.0881 0.6242  0.01
Se 0.3758 0.4119 0.0872  0.01
Mn 0.1250 0.7500 0.3750  4.03
Mn 0.8750 0.6250 0.7500  4.03
Mn 0.7500 0.1250 0.8750  4.03
Mn 0.0000 0.5000 0.5000  3.97
Mn 0.5000 0.0000 0.0000  3.97
Mn 0.0000 0.0000 0.0000  3.97
Mn 0.8750 0.2500 0.6250  4.03
Mn 0.3750 0.2500 0.1250  4.03
Mn 0.0000 0.0000 0.5000  3.97
Mn 0.5000 0.5000 0.5000  3.97
Mn 0.2500 0.8750 0.1250  4.03
Mn 0.1250 0.3750 0.2500  4.03
Mn 0.6250 0.8750 0.2500  4.03
Mn 0.5000 0.5000 0.0000  3.97
Mn 0.5000 0.0000 0.5000  3.97
Mn 0.7500 0.6250 0.3750  4.03
Mn 0.2500 0.3750 0.6250  4.03
Mn 0.0000 0.5000 0.0000  3.97
Mn 0.3750 0.1250 0.7500  4.03
Mn 0.6250 0.7500 0.8750  4.03